A plane-wave DFT calculation with PBE was carried out for crystalline DyBiAu2 at its relaxed geometry.

Output
ΔE_f: -448 meV/atom
SG: R3m (160)
E_tot: -16.83 eV per cell
V: 105.8 Å³/f.u.

abc: 4.015 4.015 7.924
angles: 75.33 75.33 60.00
Element x y z (fractional)
Dy 0.667 0.667 0.999
Bi 0.499 0.499 0.502
Au 0.080 0.080 0.759
Au 0.254 0.254 0.239